Entry 1:
Computed, not measured: a geometry-optimized NdBe4 structure at the PBE-GGA level of DFT.

Summary:
space group = No. 129
crystal system = tetragonal

Cell: 3.1315 3.1315 13.8166 Å, 90.00 90.00 90.00°
Fractional coordinates of all 10 atoms:
Nd 0.2500 0.2500 0.1952
Nd 0.7500 0.7500 0.8048
Be 0.2500 0.2500 0.4983
Be 0.2500 0.7500 0.0000
Be 0.2500 0.7500 0.3878
Be 0.2500 0.7500 0.6122
Be 0.7500 0.2500 0.0000
Be 0.7500 0.2500 0.3878
Be 0.7500 0.2500 0.6122
Be 0.7500 0.7500 0.5017

Entry 2:
Computed, not measured: a geometry-optimized NdBe14 structure at the PBE-GGA level of DFT.

Summary:
space group = No. 166
crystal system = trigonal

Cell: 5.6115 5.6115 5.6115 Å, 75.07 75.07 75.07°
Fractional coordinates of all 15 atoms:
Nd 0.0000 0.0000 0.0000
Be 0.1604 0.5000 0.8396
Be 0.1604 0.8396 0.5000
Be 0.2143 0.2143 0.2143
Be 0.2403 0.2403 0.5625
Be 0.2403 0.5625 0.2403
Be 0.4375 0.7597 0.7597
Be 0.5000 0.1604 0.8396
Be 0.5000 0.8396 0.1604
Be 0.5625 0.2403 0.2403
Be 0.7597 0.4375 0.7597
Be 0.7597 0.7597 0.4375
Be 0.7857 0.7857 0.7857
Be 0.8396 0.1604 0.5000
Be 0.8396 0.5000 0.1604

Entry 3:
Computed, not measured: a geometry-optimized NdBe2 structure at the PBE-GGA level of DFT.

Summary:
space group = No. 227
crystal system = cubic
energy relative to the lowest polymorph listed for this composition = 2.306 eV/atom

Cell: 9.5483 9.5483 9.5483 Å, 60.00 60.00 60.00°
Fractional coordinates of all 6 atoms:
Nd 0.1250 0.1250 0.1250
Nd 0.8750 0.8750 0.8750
Be 0.0000 0.0000 0.0000
Be 0.0000 0.0000 0.5000
Be 0.0000 0.5000 0.0000
Be 0.5000 0.0000 0.0000

Entry 4:
Computed, not measured: a geometry-optimized NdNpBe structure at the PBE-GGA level of DFT.

Summary:
space group = No. 216
crystal system = cubic
energy relative to the lowest polymorph listed for this composition = 0.000 eV/atom

Cell: 6.6950 6.6950 6.6950 Å, 90.00 90.00 90.00°
Fractional coordinates of all 12 atoms:
Nd 0.0000 0.0000 0.0000
Nd 0.0000 0.5000 0.5000
Nd 0.5000 0.0000 0.5000
Nd 0.5000 0.5000 0.0000
Np 0.0000 0.0000 0.5000
Np 0.0000 0.5000 0.0000
Np 0.5000 0.0000 0.0000
Np 0.5000 0.5000 0.5000
Be 0.2500 0.2500 0.2500
Be 0.2500 0.7500 0.7500
Be 0.7500 0.2500 0.7500
Be 0.7500 0.7500 0.2500

Entry 5:
Computed, not measured: a geometry-optimized Nd2Be2O5 structure at the PBE-GGA level of DFT.

Summary:
space group = No. 123
crystal system = tetragonal
energy relative to the lowest polymorph listed for this composition = 0.000 eV/atom

Cell: 3.6732 3.6732 6.9709 Å, 90.00 90.00 90.00°
Fractional coordinates of all 9 atoms:
Nd 0.0000 0.0000 0.0000
Nd 0.0000 0.0000 0.5000
Be 0.5000 0.5000 0.2265
Be 0.5000 0.5000 0.7735
O 0.0000 0.5000 0.2731
O 0.0000 0.5000 0.7269
O 0.5000 0.0000 0.2731
O 0.5000 0.0000 0.7269
O 0.5000 0.5000 0.0000

Entry 6:
Computed, not measured: a geometry-optimized Nd2Be2O5 structure at the PBE-GGA level of DFT.

Summary:
space group = No. 123
crystal system = tetragonal
energy relative to the lowest polymorph listed for this composition = 1.460 eV/atom

Cell: 3.8471 3.8471 9.0821 Å, 90.00 90.00 90.00°
Fractional coordinates of all 9 atoms:
Nd 0.0000 0.0000 0.2410
Nd 0.0000 0.0000 0.7590
Be 0.5000 0.5000 0.0000
Be 0.5000 0.5000 0.5000
O 0.0000 0.0000 0.5000
O 0.0000 0.5000 0.1204
O 0.0000 0.5000 0.8796
O 0.5000 0.0000 0.1204
O 0.5000 0.0000 0.8796

Entry 7:
Computed, not measured: a geometry-optimized NdBeOs structure at the PBE-GGA level of DFT.

Summary:
space group = No. 216
crystal system = cubic
energy relative to the lowest polymorph listed for this composition = 0.252 eV/atom

Cell: 6.3092 6.3092 6.3092 Å, 90.00 90.00 90.00°
Fractional coordinates of all 12 atoms:
Nd 0.0000 0.0000 0.0000
Nd 0.0000 0.5000 0.5000
Nd 0.5000 0.0000 0.5000
Nd 0.5000 0.5000 0.0000
Be 0.0000 0.0000 0.5000
Be 0.0000 0.5000 0.0000
Be 0.5000 0.0000 0.0000
Be 0.5000 0.5000 0.5000
Os 0.2500 0.2500 0.7500
Os 0.2500 0.7500 0.2500
Os 0.7500 0.2500 0.2500
Os 0.7500 0.7500 0.7500

Entry 8:
Computed, not measured: a geometry-optimized NdBeOs structure at the PBE-GGA level of DFT.

Summary:
space group = No. 216
crystal system = cubic
energy relative to the lowest polymorph listed for this composition = 0.000 eV/atom

Cell: 6.0944 6.0944 6.0944 Å, 90.00 90.00 90.00°
Fractional coordinates of all 12 atoms:
Nd 0.0000 0.0000 0.0000
Nd 0.0000 0.5000 0.5000
Nd 0.5000 0.0000 0.5000
Nd 0.5000 0.5000 0.0000
Be 0.2500 0.2500 0.2500
Be 0.2500 0.7500 0.7500
Be 0.7500 0.2500 0.7500
Be 0.7500 0.7500 0.2500
Os 0.0000 0.0000 0.5000
Os 0.0000 0.5000 0.0000
Os 0.5000 0.0000 0.0000
Os 0.5000 0.5000 0.5000

no.,electronic total energy (eV/atom),ρ (g cm⁻³)
1,-3.631,4.419
2,-3.542,2.781
3,-1.579,0.875
4,-6.360,8.638
5,-7.465,6.824
6,-6.006,4.775
7,-5.946,9.084
8,-6.197,10.079